Record 1
## TmTh2P2Rh7 (PBE-GGA)

Data for crystalline TmTh2P2Rh7 at its relaxed geometry.

Calculated values
The total energy comes out at -93.55 eV for the cell shown.

abc: 4.018 4.018 13.363
angles: 95.81 95.81 89.62
Sites, in units of the cell vectors:
Tm 0.000 0.000 0.000
Th 0.109 0.109 0.347
Th 0.891 0.891 0.653
P 0.417 0.417 0.752
P 0.583 0.583 0.248
Rh 0.054 0.553 0.160
Rh 0.368 0.368 0.577
Rh 0.447 0.946 0.840
Rh 0.500 0.500 0.000
Rh 0.553 0.054 0.160
Rh 0.632 0.632 0.423
Rh 0.946 0.447 0.840

Record 2
## La15TlSn4 (PBE-GGA)

Data for crystalline La15TlSn4 at its relaxed geometry.

Calculated values
The total energy comes out at -101.12 eV for the cell shown.

abc: 5.050 5.050 25.130
angles: 90.00 90.00 90.00
Sites, in units of the cell vectors:
La 0.000 0.000 0.000
La 0.000 0.000 0.202
La 0.000 0.000 0.400
La 0.000 0.000 0.600
La 0.000 0.000 0.798
La 0.000 0.500 0.102
La 0.000 0.500 0.301
La 0.000 0.500 0.500
La 0.000 0.500 0.699
La 0.000 0.500 0.898
La 0.500 0.000 0.102
La 0.500 0.000 0.301
La 0.500 0.000 0.500
La 0.500 0.000 0.699
La 0.500 0.000 0.898
Tl 0.500 0.500 0.000
Sn 0.500 0.500 0.201
Sn 0.500 0.500 0.400
Sn 0.500 0.500 0.600
Sn 0.500 0.500 0.799

Record 3
## KTlSn (PBE-GGA)

Data for crystalline KTlSn at its relaxed geometry.

Calculated values
The total energy comes out at -15.56 eV for the cell shown.

abc: 6.952 4.556 7.153
angles: 90.00 91.49 90.00
Sites, in units of the cell vectors:
K 0.000 0.000 0.000
K 0.194 0.500 0.468
Tl 0.427 0.000 0.769
Tl 0.566 0.500 0.117
Sn 0.720 0.000 0.432
Sn 0.742 0.500 0.707

Record 4
## Rb2CaSb2 (PBE-GGA)

Data for crystalline Rb2CaSb2 at its relaxed geometry.

Calculated values
The calculation puts the energy relative to the elements, uncorrected at 219 meV per atom. The value obtained for the relative energy among the computed polymorphs is 716 meV/atom.

abc: 3.676 3.676 17.482
angles: 90.00 90.00 90.00
Sites, in units of the cell vectors:
Rb 0.000 0.000 0.128
Rb 0.000 0.000 0.872
Ca 0.000 0.000 0.500
Sb 0.000 0.000 0.327
Sb 0.000 0.000 0.673

Record 5
## Ac8NiPd3Br4 (PBE-GGA)

Data for crystalline Ac8NiPd3Br4 at its relaxed geometry.

Calculated values
The calculation puts the energy relative to the elements, uncorrected at -1028 meV per atom.

abc: 8.865 8.865 9.719
angles: 117.17 117.17 60.01
Sites, in units of the cell vectors:
Ac 0.228 0.228 0.695
Ac 0.228 0.739 0.695
Ac 0.261 0.772 0.305
Ac 0.267 0.267 0.302
Ac 0.733 0.733 0.698
Ac 0.739 0.228 0.695
Ac 0.772 0.261 0.305
Ac 0.772 0.772 0.305
Ni 0.000 0.000 0.500
Pd 0.000 0.500 0.500
Pd 0.500 0.000 0.500
Pd 0.500 0.500 0.500
Br 0.000 0.000 0.000
Br 0.000 0.500 0.000
Br 0.500 0.000 0.000
Br 0.500 0.500 0.000

Record 6
## Na2CuSb3Au4 (PBE-GGA)

Data for crystalline Na2CuSb3Au4 at its relaxed geometry.

Calculated values
The calculation puts the energy relative to the elements, uncorrected at -169 meV per atom.

abc: 4.647 4.647 11.232
angles: 90.00 90.00 90.00
Sites, in units of the cell vectors:
Na 0.000 0.500 0.250
Na 0.500 0.000 0.750
Cu 0.000 0.000 0.500
Sb 0.000 0.500 0.861
Sb 0.500 0.000 0.139
Sb 0.500 0.500 0.500
Au 0.000 0.000 0.000
Au 0.000 0.500 0.623
Au 0.500 0.000 0.377
Au 0.500 0.500 0.000

Record 7
## Na2ScAlO4 (PBE-GGA)

Data for crystalline Na2ScAlO4 at its relaxed geometry.

Calculated values
The calculation puts the energy relative to the elements, uncorrected at -2629 meV per atom.

abc: 5.283 3.051 5.711
angles: 90.00 108.03 90.00
Sites, in units of the cell vectors:
Na 0.000 0.000 0.000
Na 0.500 0.500 0.000
Sc 0.000 0.500 0.500
Al 0.500 0.000 0.500
O 0.252 0.000 0.698
O 0.285 0.500 0.306
O 0.715 0.500 0.694
O 0.748 0.000 0.302

Record 8
## AcLaSiSn (PBE-GGA)

Data for crystalline AcLaSiSn at its relaxed geometry.

Calculated values
The calculation puts the energy relative to the elements, uncorrected at -429 meV per atom.

abc: 5.548 5.548 5.548
angles: 60.00 60.00 60.00
Sites, in units of the cell vectors:
Ac 0.000 0.000 0.000
La 0.500 0.500 0.500
Si 0.750 0.750 0.750
Sn 0.250 0.250 0.250

no.,M_tot (μB per cell)
1,0.0
2,0.0
3,0.0
4,0.0
5,0.0
6,0.0
7,0.0
8,0.0